Density functional theory data (GGA-PBE) for crystalline La8AlCd2 at its relaxed geometry.

a b c (Å): 17.691 5.129 8.285
angles (deg): 90.00 110.66 90.00
Space group C2/m (No. 12)
Asymmetric unit:
La 0.055 0.000 0.242 (multiplicity 4)
La 0.095 0.500 0.946 (multiplicity 4)
La 0.137 0.000 0.693 (multiplicity 4)
La 0.178 0.500 0.439 (multiplicity 4)
Al 0.000 0.500 0.500 (multiplicity 2)
Cd 0.224 0.000 0.137 (multiplicity 4)

Properties
Crystal system: monoclinic
Formation enthalpy at 0 K (eV/atom): -0.1561
Spin magnetization (μB/cell): 0.0